Record 1
An optimized crystal structure of TiBeVCo, computed with PBE-GGA.

Cell and atoms, written as POSCAR:
```
TiBeVCo
1.0
-3.051 -1.855 2.069
-2.559 -2.573 -1.966
0.179 -4.056 0.744
Be Ti Co V
1 1 1 1
direct
0.500 0.500 0.500
0.250 0.250 0.250
0.000 0.000 0.000
0.750 0.750 0.750
```

Properties
Electronic total energy: -28.18 eV per cell
DOS(E_F): 3.079 states/eV/cell
Calculated formation energy: -0.08 eV per atom

---

Record 2
An optimized crystal structure of Zr2TiBe2Co5, computed with PBE-GGA.

Cell and atoms, written as POSCAR:
```
Zr2TiBe2Co5
1.0
3.164 0.000 0.000
0.000 8.862 0.000
0.000 0.000 8.862
Zr Ti Be Co
4 2 4 10
direct
0.000 0.676 0.176
0.000 0.324 0.824
0.000 0.176 0.324
0.000 0.824 0.676
0.000 0.000 0.000
0.000 0.500 0.500
0.000 0.118 0.618
0.000 0.882 0.382
0.000 0.618 0.882
0.000 0.382 0.118
0.500 0.215 0.068
0.500 0.785 0.932
0.500 0.068 0.785
0.500 0.715 0.432
0.500 0.932 0.215
0.500 0.285 0.568
0.500 0.568 0.715
0.500 0.432 0.285
0.500 0.500 0.000
0.500 0.000 0.500
```

Properties
Electronic total energy: -144.25 eV per cell
DOS(E_F): 11.371 states/eV/cell
Calculated formation energy: -0.41 eV per atom

---

Record 3
An optimized crystal structure of ZrTiBeCo, computed with PBE-GGA.

Cell and atoms, written as POSCAR:
```
ZrTiBeCo
1.0
4.371 0.000 0.000
2.186 3.786 0.000
2.186 1.262 3.569
Be Co Zr Ti
1 1 1 1
direct
0.000 0.000 0.000
0.500 0.500 0.500
0.750 0.750 0.750
0.250 0.250 0.250
```

Properties
Electronic total energy: -27.78 eV per cell
DOS(E_F): 4.668 states/eV/cell
Calculated formation energy: -0.13 eV per atom

---

Record 4
An optimized crystal structure of BeTl2Co, computed with PBE-GGA.

Cell and atoms, written as POSCAR:
```
BeTl2Co
1.0
-3.509 2.152 -1.992
-2.010 -4.099 -0.263
-1.382 0.488 2.962
Be Tl Co
1 2 1
direct
0.500 0.000 0.500
0.000 0.000 0.000
0.500 0.500 0.000
0.000 0.500 0.500
```

Properties
Electronic total energy: -12.54 eV per cell
DOS(E_F): 2.878 states/eV/cell
Calculated formation energy: 0.76 eV per atom

---

Record 5
An optimized crystal structure of Be3TlCo, computed with PBE-GGA.

Cell and atoms, written as POSCAR:
```
Be3TlCo
1.0
-3.947 -0.910 -0.692
1.138 -3.378 -2.045
-0.116 -2.156 3.497
Be Tl Co
3 1 1
direct
0.000 0.500 0.000
0.000 0.000 0.500
0.500 0.000 0.000
0.500 0.500 0.500
0.000 0.000 0.000
```

Properties
Electronic total energy: -17.95 eV per cell
DOS(E_F): 1.655 states/eV/cell
Calculated formation energy: 0.54 eV per atom

---

Record 6
An optimized crystal structure of BeTlCo2, computed with PBE-GGA.

Cell and atoms, written as POSCAR:
```
BeTlCo2
1.0
0.107 -4.175 0.063
-3.540 -2.173 0.440
-1.529 -2.177 -3.220
Be Tl Co
1 1 2
direct
0.000 0.000 0.000
0.500 0.500 0.500
0.250 0.250 0.250
0.750 0.750 0.750
```

Properties
Electronic total energy: -18.59 eV per cell
DOS(E_F): 2.946 states/eV/cell
Calculated formation energy: 0.43 eV per atom

---

Record 7
An optimized crystal structure of BeTl2Co, computed with PBE-GGA.

Cell and atoms, written as POSCAR:
```
BeTl2Co
1.0
-5.737 -3.244 -4.846
-4.891 -5.825 -3.011
-7.073 -3.655 -1.881
Be Tl Co
1 2 1
direct
0.250 0.250 0.250
0.999 0.999 0.999
0.501 0.501 0.501
0.750 0.750 0.750
```

Properties
Electronic total energy: -12.59 eV per cell
DOS(E_F): 3.436 states/eV/cell
Calculated formation energy: 0.74 eV per atom

---

Record 8
An optimized crystal structure of BeTlCo2, computed with PBE-GGA.

Cell and atoms, written as POSCAR:
```
BeTlCo2
1.0
-4.569 -0.670 0.916
-1.244 -4.491 -0.670
2.932 2.679 2.529
Be Tl Co
1 1 2
direct
0.250 0.750 0.500
0.750 0.250 0.500
0.038 0.038 0.000
0.462 0.462 0.000
```

Properties
Electronic total energy: -18.66 eV per cell
DOS(E_F): 4.569 states/eV/cell
Calculated formation energy: 0.41 eV per atom

---

Copy entry 8 word for word.
An optimized crystal structure of BeTlCo2, computed with PBE-GGA.

Cell and atoms, written as POSCAR:
```
BeTlCo2
1.0
-4.569 -0.670 0.916
-1.244 -4.491 -0.670
2.932 2.679 2.529
Be Tl Co
1 1 2
direct
0.250 0.750 0.500
0.750 0.250 0.500
0.038 0.038 0.000
0.462 0.462 0.000
```

Properties
Electronic total energy: -18.66 eV per cell
DOS(E_F): 4.569 states/eV/cell
Calculated formation energy: 0.41 eV per atom

---

Copy entry 5 word for word.
An optimized crystal structure of Be3TlCo, computed with PBE-GGA.

Cell and atoms, written as POSCAR:
```
Be3TlCo
1.0
-3.947 -0.910 -0.692
1.138 -3.378 -2.045
-0.116 -2.156 3.497
Be Tl Co
3 1 1
direct
0.000 0.500 0.000
0.000 0.000 0.500
0.500 0.000 0.000
0.500 0.500 0.500
0.000 0.000 0.000
```

Properties
Electronic total energy: -17.95 eV per cell
DOS(E_F): 1.655 states/eV/cell
Calculated formation energy: 0.54 eV per atom